Below is crystalline LaPrHgI at its relaxed geometry, with properties calculated at the PBE-GGA level.

Lattice parameters (Å, degrees): 4.5070 4.5070 23.0710 90.00 90.00 120.00
Space group R3m (No. 160, hexagonal axes)
One atom of each set of equivalent atoms:
La  0.0000  0.0000  0.0000 x3
Pr  0.0000  0.0000  0.4891 x3
Hg  0.0000  0.0000  0.7453 x3
I  0.0000  0.0000  0.2435 x3

* ρ: 7.45 g cm⁻³
* relative energy among the computed polymorphs: 0 meV per atom